No. 1
! PBE-GGA Ho2ThTl4, optimized geometry; values from VASP
! * density of states at the Fermi level: 7.56 states/eV per cell
! * energy above the lowest structure with this stoichiometry: 0 meV per atom
! * symmetry: P4/mmm (123)
! * ΔE_f: -0.1290 eV per atom
&SYSTEM
  ibrav = 0, nat = 7, ntyp = 3
/
ATOMIC_SPECIES
Ho 164.93 Ho.upf
Th 232.04 Th.upf
Tl 204.38 Tl.upf
ATOMIC_POSITIONS angstrom
Ho 0.000 0.000 0.000
Ho 2.603 2.603 3.900
Th 0.000 0.000 3.900
Tl 0.000 2.603 1.762
Tl 0.000 2.603 6.038
Tl 2.603 0.000 1.762
Tl 2.603 0.000 6.038
CELL_PARAMETERS angstrom
5.206 0.000 0.000
0.000 5.206 0.000
0.000 0.000 7.799



No. 2
! PBE-GGA Ho2Th2Tl3, optimized geometry; values from VASP
! * density of states at the Fermi level: 15.43 states/eV per cell
! * symmetry: Cmmm (65)
! * ΔE_f: -0.1196 eV per atom
&SYSTEM
  ibrav = 0, nat = 14, ntyp = 3
/
ATOMIC_SPECIES
Ho 164.93 Ho.upf
Th 232.04 Th.upf
Tl 204.38 Tl.upf
ATOMIC_POSITIONS angstrom
Ho 0.000 2.147 0.000
Ho 0.000 30.352 0.000
Ho 1.772 14.103 0.000
Ho 1.772 18.396 0.000
Th 0.000 6.654 0.000
Th 0.000 25.845 0.000
Th 1.772 9.595 0.000
Th 1.772 22.903 0.000
Tl 0.000 11.930 1.754
Tl 0.000 16.249 1.754
Tl 0.000 20.568 1.754
Tl 1.772 0.000 1.754
Tl 1.772 4.319 1.754
Tl 1.772 28.180 1.754
CELL_PARAMETERS angstrom
3.543 0.000 0.000
0.000 32.499 0.000
0.000 0.000 3.508



No. 3
! PBE-GGA Ho12ThTl3, optimized geometry; values from VASP
! * density of states at the Fermi level: 23.04 states/eV per cell
! * symmetry: P4/mmm (123)
! * ΔE_f: -0.1126 eV per atom
&SYSTEM
  ibrav = 0, nat = 16, ntyp = 3
/
ATOMIC_SPECIES
Ho 164.93 Ho.upf
Th 232.04 Th.upf
Tl 204.38 Tl.upf
ATOMIC_POSITIONS angstrom
Ho 0.000 0.000 0.000
Ho 0.000 0.000 4.824
Ho 0.000 0.000 9.834
Ho 0.000 0.000 14.844
Ho 0.000 2.428 2.425
Ho 0.000 2.428 7.307
Ho 0.000 2.428 12.361
Ho 0.000 2.428 17.243
Ho 2.428 0.000 2.425
Ho 2.428 0.000 7.307
Ho 2.428 0.000 12.361
Ho 2.428 0.000 17.243
Th 2.428 2.428 9.834
Tl 2.428 2.428 0.000
Tl 2.428 2.428 4.804
Tl 2.428 2.428 14.864
CELL_PARAMETERS angstrom
4.856 0.000 0.000
0.000 4.856 0.000
0.000 0.000 19.668